Record 1
Compound: Re2AuBr
Source: Alexandria via LeMat-Bulk
Functional: PBE
Structure: relaxed

The structure in POSCAR format:
```
Re2AuBr
1.0
-3.1002 -1.1338 -3.0715
-3.3243 -2.9433 -0.7851
-4.2646 2.8606 1.8459
Br Au Re
1 1 2
Cartesian
-2.6723 -0.3041 -0.5027
-8.0168 -0.9124 -1.5081
-0.1342 0.0837 0.0531
-5.2103 -0.6920 -1.0585
```

Formation energy without anion corrections ... 1.13 eV/atom
Magnetization ... 0.000 Bohr magnetons per cell
Crystal system ... monoclinic

=====

Record 2
Compound: Tb3Nd3YS8
Source: Alexandria via LeMat-Bulk
Functional: PBE
Structure: relaxed

The structure in POSCAR format:
```
Tb3Nd3YS8
1.0
7.9410 0.0000 0.0000
-3.9705 6.8773 -0.0241
0.0000 -4.5619 6.5794
S Y Tb Nd
8 1 3 3
Cartesian
3.9705 0.0169 4.8394
0.0000 0.0251 4.8460
5.9487 -1.1361 1.7212
3.9705 2.2903 1.7092
1.9923 -1.1361 1.7212
0.0000 2.2985 1.7159
-1.9782 3.4515 4.8340
1.9782 3.4515 4.8340
0.0000 -2.2809 3.2897
3.9705 -2.2810 3.2897
1.9853 1.1577 3.2776
-1.9853 1.1577 3.2776
1.9853 3.4386 -0.0121
0.0000 0.0000 0.0000
-1.9853 3.4386 -0.0121
```

Formation energy without anion corrections ... -2.06 eV/atom
Magnetization ... 0.000 Bohr magnetons per cell
Crystal system ... trigonal

=====

Record 3
Compound: LaTc2Ru
Source: Alexandria via LeMat-Bulk
Functional: PBE
Structure: relaxed

The structure in POSCAR format:
```
LaTc2Ru
1.0
9.7921 -0.0154 -0.0090
9.3712 2.8403 -0.0090
9.3712 1.3814 2.4817
Tc Ru La
2 1 1
Cartesian
21.0625 3.1048 1.8185
0.0037 0.0005 0.0003
7.4560 1.0991 0.6437
14.2795 2.1049 1.2329
```

Magnetization ... 0.034 Bohr magnetons per cell
Energy of formation from the pure elements ... 513.9 meV/atom
Crystal system ... trigonal

=====

Record 4
Compound: PPb4S6
Source: Alexandria via LeMat-Bulk
Functional: PBE
Structure: relaxed

The structure in POSCAR format:
```
PPb4S6
1.0
7.1645 0.0000 2.1633
3.1612 6.6698 2.4761
-0.1804 0.4625 13.5428
S Pb P
12 8 2
Cartesian
4.7565 3.4792 4.0854
6.4356 0.3755 10.6303
8.2821 4.0365 9.5140
8.5952 4.2380 15.5817
4.2208 0.6718 6.7014
3.4052 1.3668 1.3811
6.9360 5.1414 6.6494
3.2013 2.0377 11.5595
5.5799 4.7936 13.2151
0.8775 1.2275 4.2357
5.0545 4.9329 9.4385
0.4948 0.9328 13.2004
5.8884 5.6299 15.8627
6.0636 0.8615 4.4134
5.1511 6.9181 11.5290
2.1677 3.3520 3.0687
5.7414 1.9297 12.9719
8.3267 4.4276 12.6561
6.3197 2.0637 8.4335
4.0388 5.0333 6.4200
6.9289 5.3884 8.7012
2.0717 2.2848 13.2724
```

Formation energy without anion corrections ... -0.33 eV/atom
Magnetization ... 0.000 Bohr magnetons per cell
Crystal system ... monoclinic